No. 1
Pm2Sm4HoEr: optimized geometry, PBE-GGA.

Lattice parameters (Å, degrees): 13.7310 13.2321 6.8561 90.00 119.71 90.00
With the nearest neighbours (Å) after each atom.
Space group C2/c (No. 15)
One atom of each set of equivalent atoms:
Pm  0.0000  0.0000  0.0000  6 Sm 3.31-3.63, 2 Pm 3.43
Pm  0.2500  0.2500  0.0000  6 Sm 3.30-3.58, 2 Er 3.43
Sm  0.0127  0.2530  0.0134  1 Ho 3.27, 3 Pm 3.30-3.58, 2 Er 3.31-3.56, 2 Sm 3.43-3.45
Sm  0.2481  0.4974  0.4539  2 Ho 3.28-3.57, 1 Er 3.29, 3 Pm 3.31-3.63, 2 Sm 3.43
Ho  0.0000  0.5000  0.0000  6 Sm 3.27-3.57, 2 Ho 3.43
Er  0.2500  0.2500  0.5000  6 Sm 3.29-3.56, 2 Pm 3.43

Results
VASP energy: -137.19 eV/cell
Total magnetization: 0.000 μB per atom

=====

No. 2
PmSmHo5Er2: optimized geometry, PBE-GGA.

Lattice parameters (Å, degrees): 8.9526 8.9526 14.5322 90.00 90.00 90.00
With the nearest neighbours (Å) after each atom.
Space group I4/mcm (No. 140)
One atom of each set of equivalent atoms:
Pm  0.0000  0.0000  0.2500  10 Ho 3.63-3.66
Sm  0.0000  0.5000  0.2500  4 Ho 3.10
Ho  0.0000  0.0000  0.0000  4 Er 3.61, 2 Pm 3.63, 8 Ho 3.74
Ho  0.2030  0.2970  0.1304  1 Er 3.01, 1 Sm 3.10
Er  0.1122  0.3878  0.5000  1 Er 2.84, 2 Ho 3.01

Results
VASP energy: -155.42 eV/cell
Total magnetization: 0.000 μB per atom

=====

No. 3
PmSmHo2Er5: optimized geometry, PBE-GGA.

Lattice parameters (Å, degrees): 8.8605 8.8605 14.6845 90.00 90.00 90.00
With the nearest neighbours (Å) after each atom.
Space group I4/mcm (No. 140)
One atom of each set of equivalent atoms:
Pm  0.0000  0.0000  0.2500  10 Er 3.63-3.67
Sm  0.0000  0.5000  0.2500  4 Er 3.09
Ho  0.1134  0.3866  0.0000  1 Ho 2.84, 2 Er 3.00
Er  0.0000  0.0000  0.0000  4 Ho 3.57, 2 Pm 3.67, 8 Er 3.73
Er  0.2041  0.2959  0.3680  1 Ho 3.00, 1 Sm 3.09

Results
VASP energy: -155.40 eV/cell
Total magnetization: 0.000 μB per atom

=====

No. 4
PmSm2Ho6Er3: optimized geometry, PBE-GGA.

Lattice parameters (Å, degrees): 6.1476 10.6382 11.7398 90.00 100.01 90.00
With the nearest neighbours (Å) after each atom.
Space group C2/m (No. 12)
One atom of each set of equivalent atoms:
Pm  0.0000  0.0000  0.0000  6 Sm 3.55, 6 Ho 3.57-3.58
Sm  0.0000  0.3333  0.0000  3 Pm 3.55, 3 Sm 3.55, 6 Ho 3.57-3.58
Ho  0.2485  0.0000  0.7465  3 Er 3.51, 6 Ho 3.55, 1 Pm 3.57, 2 Sm 3.58
Ho  0.2483  0.3333  0.7464  3 Er 3.51, 6 Ho 3.55, 2 Sm 3.57-3.58, 1 Pm 3.58
Er  0.0000  0.1666  0.5000  6 Ho 3.51, 6 Er 3.55
Er  0.0000  0.5000  0.5000  6 Ho 3.51, 6 Er 3.55

Results
VASP energy: -110.22 eV/cell
Total magnetization: 0.000 μB per atom

=====

No. 5
Pm4SmHo2Er: optimized geometry, PBE-GGA.

Lattice parameters (Å, degrees): 6.2306 3.6073 11.8807 90.00 100.19 90.00
With the nearest neighbours (Å) after each atom.
Space group P2/m (No. 10)
One atom of each set of equivalent atoms:
Pm  0.2488  0.0000  0.2480  3 Ho 3.57-3.61, 1 Er 3.57, 6 Pm 3.60-3.61, 2 Sm 3.61
Pm  0.2505  0.5000  0.7512  2 Er 3.58, 3 Ho 3.58-3.60, 6 Pm 3.60-3.61, 1 Sm 3.60
Sm  0.5000  0.5000  0.5000  4 Ho 3.60, 6 Pm 3.60-3.61, 2 Sm 3.61
Ho  0.0000  0.0000  0.5000  6 Pm 3.60-3.61, 4 Sm 3.60, 2 Ho 3.61
Ho  0.0000  0.5000  0.0000  6 Pm 3.57-3.58, 4 Er 3.60, 2 Ho 3.61
Er  0.5000  0.0000  0.0000  6 Pm 3.57-3.58, 4 Ho 3.60, 2 Er 3.61

Results
VASP energy: -37.31 eV/cell
Total magnetization: 0.000 μB per atom

=====

No. 6
Pm6SmHo2Er3: optimized geometry, PBE-GGA.

Lattice parameters (Å, degrees): 6.2333 10.7939 11.8186 90.00 100.09 90.00
With the nearest neighbours (Å) after each atom.
Space group C2/m (No. 12)
One atom of each set of equivalent atoms:
Pm  0.2493  0.0000  0.2484  3 Er 3.56, 1 Sm 3.59, 2 Ho 3.59, 6 Pm 3.60
Pm  0.2487  0.3331  0.2485  3 Er 3.56, 2 Ho 3.59, 1 Sm 3.59, 6 Pm 3.60
Sm  0.0000  0.0000  0.5000  6 Pm 3.59, 6 Ho 3.60
Ho  0.0000  0.3335  0.5000  6 Pm 3.59, 3 Ho 3.59-3.60, 3 Sm 3.60
Er  0.0000  0.1669  0.0000  6 Pm 3.56, 6 Er 3.60
Er  0.0000  0.5000  0.0000  6 Pm 3.56, 6 Er 3.60

Results
VASP energy: -111.80 eV/cell
Total magnetization: 0.000 μB per atom

=====

No. 7
PmSm3HoEr: optimized geometry, PBE-GGA.

Lattice parameters (Å, degrees): 5.0689 15.2480 10.1849 90.00 90.00 90.00
With the nearest neighbours (Å) after each atom.
Space group Cmcm (No. 63)
One atom of each set of equivalent atoms:
Pm  0.0000  0.0010  0.2500  6 Sm 3.58-3.61, 2 Er 3.58, 4 Ho 3.59
Sm  0.0000  0.1659  0.0002  2 Pm 3.58-3.60, 2 Ho 3.58, 3 Er 3.59-3.61, 5 Sm 3.59-3.60
Sm  0.0000  0.3327  0.2500  2 Er 3.58, 6 Sm 3.59-3.60, 2 Ho 3.60, 2 Pm 3.61
Ho  0.0000  0.5000  0.0000  6 Sm 3.58-3.60, 4 Pm 3.59, 2 Er 3.60
Er  0.0000  0.3332  0.7500  2 Pm 3.58, 8 Sm 3.58-3.61, 2 Ho 3.60

Results
VASP energy: -111.78 eV/cell
Total magnetization: 0.000 μB per atom

=====

No. 8
Pm2Sm6HoEr3: optimized geometry, PBE-GGA.

Lattice parameters (Å, degrees): 6.2286 10.7853 11.8717 90.00 100.04 90.00
With the nearest neighbours (Å) after each atom.
Space group C2/m (No. 12)
One atom of each set of equivalent atoms:
Pm  0.0000  0.1667  0.0000  3 Ho 3.59-3.60, 3 Pm 3.60, 6 Sm 3.61-3.62
Sm  0.2483  0.5000  0.7469  3 Er 3.55-3.56, 6 Sm 3.59-3.60, 1 Ho 3.61, 2 Pm 3.62
Sm  0.2494  0.1663  0.7471  3 Er 3.55-3.56, 6 Sm 3.59-3.60, 1 Ho 3.61, 2 Pm 3.61
Ho  0.0000  0.5000  0.0000  6 Pm 3.59-3.60, 6 Sm 3.61
Er  0.0000  0.0000  0.5000  6 Sm 3.56, 6 Er 3.59-3.60
Er  0.0000  0.3336  0.5000  6 Sm 3.55-3.56, 6 Er 3.59-3.60

Results
VASP energy: -111.79 eV/cell
Total magnetization: 0.000 μB per atom